First-principles (PBE+U) data for crystalline Li4Mn5NiO12 at its relaxed geometry, as listed in Alexandria.

a b c (Å): 5.0561 5.0561 10.6057
angles (deg): 81.02 81.02 117.84
Last column: nearest neighbours and their distance in Å.
Atoms (fractional coordinates):
Mn (0.3323, 0.6677, 0.0000)  6 O 1.93-1.97
O (0.4711, 0.1352, 0.6096)  2 Mn 1.94-1.95, 1 Li 2.01
O (0.7030, 0.0631, 0.8967)  2 Mn 1.93-1.97, 1 Li 2.04, 1 Ni 2.10
Ni (0.0000, 0.0000, 0.0000)  6 O 2.10-2.11
O (0.7596, 0.7596, 0.5983)  3 Mn 1.94-1.99
Li (0.3373, 0.6670, 0.7453)  4 O 2.01-2.24
O (0.0631, 0.7030, 0.8967)  2 Mn 1.93-1.97, 1 Li 2.04, 1 Ni 2.10
Mn (0.8337, 0.1663, 0.5000)  4 O 1.94-1.99
Mn (0.6677, 0.3323, 0.0000)  6 O 1.93-1.97
Li (0.6627, 0.3330, 0.2547)  4 O 2.01-2.24
O (0.8648, 0.5289, 0.3904)  2 Mn 1.94-1.95, 1 Li 2.01
Mn (0.1663, 0.8337, 0.5000)  4 O 1.94-1.99
Mn (0.5000, 0.5000, 0.5000)  6 O 1.94-1.95
O (0.2970, 0.9369, 0.1033)  2 Mn 1.93-1.97, 1 Li 2.04, 1 Ni 2.10
O (0.9369, 0.2970, 0.1033)  2 Mn 1.93-1.97, 1 Li 2.04, 1 Ni 2.10
Li (0.6670, 0.3373, 0.7453)  4 O 2.01-2.24
O (0.5853, 0.5853, 0.1048)  2 Mn 1.96, 2 Li 2.08, 1 Ni 2.11
O (0.5289, 0.8648, 0.3904)  2 Mn 1.94-1.95, 1 Li 2.01
O (0.1352, 0.4711, 0.6096)  2 Mn 1.94-1.95, 1 Li 2.01
O (0.4147, 0.4147, 0.8952)  2 Mn 1.96, 2 Li 2.08, 1 Ni 2.11
O (0.2404, 0.2404, 0.4017)  3 Mn 1.94-1.99
Li (0.3330, 0.6627, 0.2547)  4 O 2.01-2.24

## Properties
- calculated total energy (eV/cell) = -142.342
- total magnetic moment (μB per atom) = 0.864